Entry 1:
Below is a geometry-optimized Gd2NiPd structure, with properties calculated at the PBE level.

abc: 3.4672 3.4672 7.0230
angles: 90.00 90.00 90.00
Space group P4/mmm (No. 123)
Symmetry-distinct sites (fractional):
Gd (0.0000, 0.0000, 0.2390)
Ni (0.5000, 0.5000, 0.0000)
Pd (0.5000, 0.5000, 0.5000)

Results
- ΔH_f (0 K) (kcal/mol of atoms) = -13.31
- VASP energy (eV/atom) = -10.36
- spin magnetization (μB/f.u.) = 14.41

=====

Entry 2:
Below is a geometry-optimized La12PrNd5 structure, with properties calculated at the PBE level.

abc: 19.3140 11.1332 6.4432
angles: 90.00 109.44 90.00
Space group C2/m (No. 12)
Symmetry-distinct sites (fractional):
La (0.0000, 0.1675, 0.0000)
La (0.0000, 0.3316, 0.5000)
La (0.1667, 0.1679, 0.8335)
La (0.1668, 0.3320, 0.3335)
Pr (0.0000, 0.5000, 0.0000)
Nd (0.0000, 0.0000, 0.5000)
Nd (0.1667, 0.0000, 0.3336)
Nd (0.1668, 0.5000, 0.8331)

Results
- ΔH_f (0 K) (kcal/mol of atoms) = 0.35
- VASP energy (eV/atom) = -4.86
- spin magnetization (μB/f.u.) = 0.00

=====

Entry 3:
Below is a geometry-optimized MgTeO structure, with properties calculated at the PBE level.

abc: 2.9506 5.6798 9.4101
angles: 107.21 98.31 90.01
Space group P1 (No. 1)
Symmetry-distinct sites (fractional):
Mg (0.0000, 0.0000, 0.0000)
Mg (0.0002, 0.4964, 0.0001)
Te (0.1245, 0.4224, 0.3511)
Te (0.2886, 0.5789, 0.6603)
O (0.4954, 0.7432, 0.9898)
O (0.5023, 0.2503, 0.0044)

Results
- VASP energy (eV/atom) = -4.70
- spin magnetization (μB/f.u.) = 0.00